Here is YAgTe2O after structural relaxation from Alexandria. Energies are from PBE. Values from VASP.

```
&SYSTEM
  ibrav = 0, nat = 5, ntyp = 4
/
ATOMIC_SPECIES
Y 88.91 Y.upf
Ag 107.87 Ag.upf
Te 127.60 Te.upf
O 16.00 O.upf
CELL_PARAMETERS angstrom
5.1069 0.0000 0.0000
0.0000 5.1069 0.0000
0.0000 0.0000 4.3270
ATOMIC_POSITIONS crystal
Y 0.0000 0.0000 0.0000
Ag 0.5000 0.5000 0.0000
Te 0.0000 0.5000 0.5000
Te 0.5000 0.0000 0.5000
O 0.5000 0.5000 0.5000
```

Output
* D(E_F): 0.4015 states/eV per atom
* calculated total energy: -4.582 eV per atom
* E above lowest polymorph: 170 meV per atom



Here is EuTm2Zn after structural relaxation from Alexandria. Energies are from PBE. Values from VASP.

```
&SYSTEM
  ibrav = 0, nat = 4, ntyp = 3
/
ATOMIC_SPECIES
Eu 151.96 Eu.upf
Tm 168.93 Tm.upf
Zn 65.41 Zn.upf
CELL_PARAMETERS angstrom
3.5648 0.0000 0.0000
0.0000 3.5648 0.0000
0.0000 0.0000 8.9288
ATOMIC_POSITIONS crystal
Eu 0.0000 0.0000 0.0000
Tm 0.5000 0.5000 0.3109
Tm 0.5000 0.5000 0.6891
Zn 0.0000 0.0000 0.5000
```

Output
* D(E_F): 1.0403 states/eV per atom
* calculated total energy: -5.235 eV per atom
* E above lowest polymorph: 0 meV per atom
* energy of formation from the pure elements: -0.45 eV/f.u.



Here is CePu2Pt9 after structural relaxation from Alexandria. Energies are from PBE. Values from VASP.

```
&SYSTEM
  ibrav = 0, nat = 12, ntyp = 3
/
ATOMIC_SPECIES
Ce 140.12 Ce.upf
Pu 244.00 Pu.upf
Pt 195.08 Pt.upf
CELL_PARAMETERS angstrom
2.7094 1.5642 8.9235
-2.7094 1.5642 8.9235
0.0000 -3.1285 8.9235
ATOMIC_POSITIONS crystal
Ce 0.0000 0.0000 0.0000
Pu 0.1426 0.1426 0.1426
Pu 0.8574 0.8574 0.8574
Pt 0.0817 0.5866 0.5866
Pt 0.3328 0.3328 0.3328
Pt 0.4134 0.4134 0.9183
Pt 0.4134 0.9183 0.4134
Pt 0.5000 0.5000 0.5000
Pt 0.5866 0.0817 0.5866
Pt 0.5866 0.5866 0.0817
Pt 0.6672 0.6672 0.6672
Pt 0.9183 0.4134 0.4134
```

Output
* D(E_F): 2.4305 states/eV per atom
* calculated total energy: -8.205 eV per atom
* energy of formation from the pure elements: -9.50 eV/f.u.



Here is LaSn2Ru after structural relaxation from Alexandria. Energies are from PBE. Values from VASP.

```
&SYSTEM
  ibrav = 0, nat = 4, ntyp = 3
/
ATOMIC_SPECIES
La 138.91 La.upf
Sn 118.71 Sn.upf
Ru 101.07 Ru.upf
CELL_PARAMETERS angstrom
0.0000 3.5728 3.5728
3.5728 0.0000 3.5728
3.5728 3.5728 0.0000
ATOMIC_POSITIONS crystal
La 0.0000 0.0000 0.0000
Sn 0.2500 0.2500 0.2500
Sn 0.7500 0.7500 0.7500
Ru 0.5000 0.5000 0.5000
```

Output
* D(E_F): 0.7690 states/eV per atom
* calculated total energy: -5.753 eV per atom
* energy of formation from the pure elements: -0.80 eV/f.u.



Here is Nd7Tl2Ir2 after structural relaxation from Alexandria. Energies are from PBE. Values from VASP.

```
&SYSTEM
  ibrav = 0, nat = 11, ntyp = 3
/
ATOMIC_SPECIES
Nd 144.24 Nd.upf
Tl 204.38 Tl.upf
Ir 192.22 Ir.upf
CELL_PARAMETERS angstrom
4.2296 -5.6699 0.0000
4.2296 5.6699 0.0000
0.0000 0.0000 7.3219
ATOMIC_POSITIONS crystal
Nd 0.0000 0.0000 0.0000
Nd 0.0000 0.5000 0.2484
Nd 0.0000 0.5000 0.7516
Nd 0.5000 0.0000 0.2484
Nd 0.5000 0.0000 0.7516
Nd 0.5000 0.5000 0.2415
Nd 0.5000 0.5000 0.7585
Tl 0.1773 0.1773 0.5000
Tl 0.8227 0.8227 0.5000
Ir 0.2885 0.7115 0.0000
Ir 0.7115 0.2885 0.0000
```

Output
* D(E_F): 0.9300 states/eV per atom
* calculated total energy: -5.449 eV per atom
* E above lowest polymorph: 17 meV per atom
* energy of formation from the pure elements: -4.11 eV/f.u.



Here is HfRe2TePd after structural relaxation from Alexandria. Energies are from PBE. Values from VASP.

```
&SYSTEM
  ibrav = 0, nat = 5, ntyp = 4
/
ATOMIC_SPECIES
Hf 178.49 Hf.upf
Re 186.21 Re.upf
Te 127.60 Te.upf
Pd 106.42 Pd.upf
CELL_PARAMETERS angstrom
4.7882 0.0000 0.0000
0.0000 4.7882 0.0000
0.0000 0.0000 5.1340
ATOMIC_POSITIONS crystal
Hf 0.0000 0.0000 0.0000
Re 0.0000 0.5000 0.5000
Re 0.5000 0.0000 0.5000
Te 0.0000 0.0000 0.5000
Pd 0.5000 0.5000 0.0000
```

Output
* D(E_F): 1.4311 states/eV per atom
* calculated total energy: -6.646 eV per atom



Here is InIrSe2 after structural relaxation from Alexandria. Energies are from PBE. Values from VASP.

```
&SYSTEM
  ibrav = 0, nat = 4, ntyp = 3
/
ATOMIC_SPECIES
In 114.82 In.upf
Ir 192.22 Ir.upf
Se 78.96 Se.upf
CELL_PARAMETERS angstrom
3.1023 0.0000 0.0000
0.0000 4.9072 0.0000
0.0000 0.0000 4.9705
ATOMIC_POSITIONS crystal
In 0.0000 0.0000 0.0000
Ir 0.5000 0.5000 0.0000
Se 0.0000 0.5000 0.5000
Se 0.5000 0.0000 0.5000
```

Output
* D(E_F): 0.5381 states/eV per atom
* calculated total energy: -4.172 eV per atom



Here is BaScSi3 after structural relaxation from Alexandria. Energies are from PBE. Values from VASP.

```
&SYSTEM
  ibrav = 0, nat = 5, ntyp = 3
/
ATOMIC_SPECIES
Ba 137.33 Ba.upf
Sc 44.96 Sc.upf
Si 28.09 Si.upf
CELL_PARAMETERS angstrom
5.3984 0.0000 0.0000
0.0000 5.3984 0.0000
0.0000 0.0000 5.3984
ATOMIC_POSITIONS crystal
Ba 0.0000 0.0000 0.0000
Sc 0.5000 0.5000 0.5000
Si 0.0000 0.0000 0.5000
Si 0.0000 0.5000 0.0000
Si 0.5000 0.0000 0.0000
```

Output
* D(E_F): 0.6618 states/eV per atom
* calculated total energy: -3.350 eV per atom
* E above lowest polymorph: 1487 meV per atom